# CuAu4F2 PBE optimized geometry
data_CuAu4F2
_cell_length_a 4.8299
_cell_length_b 4.8299
_cell_length_c 6.8240
_cell_angle_alpha 69.27
_cell_angle_beta 69.27
_cell_angle_gamma 90.00
_space_group_name_H-M_alt 'P 1'
_space_group_IT_number 1
_space_group_name_Hall 'P 1'
loop_
_atom_site_label
_atom_site_type_symbol
_atom_site_fract_x
_atom_site_fract_y
_atom_site_fract_z
F1 F 0.3860 0.3860 0.2281
Au1 Au 0.2049 0.2049 0.5902
Au2 Au 0.0000 0.5000 0.0000
Cu1 Cu 0.0000 0.0000 0.0000
F2 F 0.6140 0.6140 0.7719
Au3 Au 0.7951 0.7951 0.4098
Au4 Au 0.5000 0.0000 0.0000
# uncorrected energy	-2.85	eV/atom

---

# Li2SiS PBE optimized geometry
data_Li2SiS
_cell_length_a 3.4594
_cell_length_b 3.5164
_cell_length_c 20.9988
_cell_angle_alpha 90.00
_cell_angle_beta 90.00
_cell_angle_gamma 90.00
_space_group_name_H-M_alt 'P 1'
_space_group_IT_number 1
_space_group_name_Hall 'P 1'
loop_
_atom_site_label
_atom_site_type_symbol
_atom_site_fract_x
_atom_site_fract_y
_atom_site_fract_z
Li1 Li 0.5000 0.5000 0.9233
Li2 Li 0.5000 0.5000 0.2141
Li3 Li 0.5000 0.0000 0.8157
Li4 Li 0.0000 0.0000 0.1298
Si1 Si 0.5000 0.5000 0.5083
S1 S 0.0000 0.0000 0.2397
Si2 Si 0.0000 0.0000 0.5502
Si3 Si 0.0000 0.0000 0.0083
Li5 Li 0.0000 0.5000 0.3157
Si4 Si 0.5000 0.5000 0.0502
S2 S 0.5000 0.5000 0.7397
S3 S 0.5000 0.5000 0.4034
Li6 Li 0.0000 0.0000 0.4233
Li7 Li 0.0000 0.0000 0.7141
Li8 Li 0.5000 0.5000 0.6298
S4 S 0.0000 0.0000 0.9034
# offset from the most stable computed form	139	meV per atom
# uncorrected energy	-4.03	eV/atom

---

# Dy2Ho3Cd PBE optimized geometry
data_Dy2Ho3Cd
_cell_length_a 3.4396
_cell_length_b 6.4655
_cell_length_c 9.1842
_cell_angle_alpha 110.61
_cell_angle_beta 100.79
_cell_angle_gamma 90.00
_space_group_name_H-M_alt 'P 1'
_space_group_IT_number 1
_space_group_name_Hall 'P 1'
loop_
_atom_site_label
_atom_site_type_symbol
_atom_site_fract_x
_atom_site_fract_y
_atom_site_fract_z
Ho1 Ho 0.3675 0.4926 0.7349
Ho2 Ho 0.0000 0.9302 0.0000
Dy1 Dy 0.3076 0.9284 0.6152
Ho3 Ho 0.6325 0.7576 0.2651
Cd1 Cd 0.5000 0.3209 0.0000
Dy2 Dy 0.6924 0.3132 0.3848
# offset from the most stable computed form	249	meV per atom
# uncorrected energy	-3.82	eV/atom
# DFT formation energy	0.159	eV/atom

---

# TlCuAgTe2 PBE optimized geometry
data_TlCuAgTe2
_cell_length_a 4.3489
_cell_length_b 7.2737
_cell_length_c 9.5596
_cell_angle_alpha 83.84
_cell_angle_beta 76.85
_cell_angle_gamma 72.61
_space_group_name_H-M_alt 'P 1'
_space_group_IT_number 1
_space_group_name_Hall 'P 1'
loop_
_atom_site_label
_atom_site_type_symbol
_atom_site_fract_x
_atom_site_fract_y
_atom_site_fract_z
Ag1 Ag 0.3599 0.3571 0.9231
Te1 Te 0.5772 0.1940 0.6517
Tl1 Tl 0.1682 0.2953 0.3682
Te2 Te 0.1586 0.7751 0.9078
Tl2 Tl 0.8318 0.7047 0.6318
Te3 Te 0.4228 0.8060 0.3483
Cu1 Cu 0.0269 0.1410 0.8053
Te4 Te 0.8414 0.2249 0.0922
Cu2 Cu 0.9731 0.8590 0.1947
Ag2 Ag 0.6401 0.6429 0.0769
# uncorrected energy	-3.23	eV/atom

---

# Sr2TePbO8 PBE optimized geometry
data_Sr2TePbO8
_cell_length_a 5.3189
_cell_length_b 5.3250
_cell_length_c 7.1127
_cell_angle_alpha 90.00
_cell_angle_beta 90.00
_cell_angle_gamma 93.52
_space_group_name_H-M_alt 'P 1'
_space_group_IT_number 1
_space_group_name_Hall 'P 1'
loop_
_atom_site_label
_atom_site_type_symbol
_atom_site_fract_x
_atom_site_fract_y
_atom_site_fract_z
Sr1 Sr 0.5000 0.5000 0.7533
O1 O 0.8295 0.1736 0.2034
Pb1 Pb 0.0000 0.0000 0.5000
O2 O 0.1705 0.8264 0.2034
O3 O 0.2756 0.2732 0.5000
O4 O 0.7373 0.7417 0.0000
Te1 Te 0.0000 0.0000 0.0000
O5 O 0.2627 0.2583 0.0000
O6 O 0.1705 0.8264 0.7966
Sr2 Sr 0.5000 0.5000 0.2467
O7 O 0.7244 0.7268 0.5000
O8 O 0.8295 0.1736 0.7966
# uncorrected energy	-5.55	eV/atom

---

# HoHgSbAu PBE optimized geometry
data_HoHgSbAu
_cell_length_a 5.1156
_cell_length_b 5.1156
_cell_length_c 5.1156
_cell_angle_alpha 60.00
_cell_angle_beta 60.00
_cell_angle_gamma 60.00
_space_group_name_H-M_alt 'P 1'
_space_group_IT_number 1
_space_group_name_Hall 'P 1'
loop_
_atom_site_label
_atom_site_type_symbol
_atom_site_fract_x
_atom_site_fract_y
_atom_site_fract_z
Sb1 Sb 0.0000 0.0000 0.0000
Au1 Au 0.2500 0.2500 0.2500
Hg1 Hg 0.7500 0.7500 0.7500
Ho1 Ho 0.5000 0.5000 0.5000
# uncorrected energy	-3.47	eV/atom

---

# Gd2PuPa PBE optimized geometry
data_Gd2PuPa
_cell_length_a 5.1201
_cell_length_b 4.6573
_cell_length_c 4.6573
_cell_angle_alpha 90.00
_cell_angle_beta 90.00
_cell_angle_gamma 90.00
_space_group_name_H-M_alt 'P 1'
_space_group_IT_number 1
_space_group_name_Hall 'P 1'
loop_
_atom_site_label
_atom_site_type_symbol
_atom_site_fract_x
_atom_site_fract_y
_atom_site_fract_z
Gd1 Gd 0.0000 0.0000 0.5000
Gd2 Gd 0.0000 0.5000 0.0000
Pu1 Pu 0.5000 0.0000 0.0000
Pa1 Pa 0.5000 0.5000 0.5000
# offset from the most stable computed form	0	meV per atom
# uncorrected energy	-12.74	eV/atom
# DFT formation energy	0.253	eV/atom

---

# Hg2TeRh PBE optimized geometry
data_Hg2TeRh
_cell_length_a 9.3407
_cell_length_b 9.3407
_cell_length_c 7.0563
_cell_angle_alpha 48.56
_cell_angle_beta 48.56
_cell_angle_gamma 90.00
_space_group_name_H-M_alt 'P 1'
_space_group_IT_number 1
_space_group_name_Hall 'P 1'
loop_
_atom_site_label
_atom_site_type_symbol
_atom_site_fract_x
_atom_site_fract_y
_atom_site_fract_z
Rh1 Rh 0.5000 0.5000 0.0000
Rh2 Rh 0.2500 0.7500 0.5000
Hg1 Hg 0.8750 0.7785 0.7500
Te1 Te 0.0000 0.0000 0.0000
Hg2 Hg 0.3750 0.4715 0.7500
Hg3 Hg 0.5285 0.1250 0.2500
Hg4 Hg 0.2215 0.6250 0.2500
Te2 Te 0.7500 0.2500 0.5000
# offset from the most stable computed form	293	meV per atom
# uncorrected energy	-2.57	eV/atom

---

# MgZr2O PBE optimized geometry
data_MgZr2O
_cell_length_a 3.2488
_cell_length_b 3.2488
_cell_length_c 8.7180
_cell_angle_alpha 79.26
_cell_angle_beta 79.26
_cell_angle_gamma 60.00
_space_group_name_H-M_alt 'P 1'
_space_group_IT_number 1
_space_group_name_Hall 'P 1'
loop_
_atom_site_label
_atom_site_type_symbol
_atom_site_fract_x
_atom_site_fract_y
_atom_site_fract_z
O1 O 0.5000 0.5000 0.5000
Zr1 Zr 0.1164 0.1164 0.6509
Zr2 Zr 0.8836 0.8836 0.3491
Mg1 Mg 0.0000 0.0000 0.0000
# offset from the most stable computed form	279	meV per atom
# uncorrected energy	-6.79	eV/atom

---

# KCa2Ir PBE optimized geometry
data_KCa2Ir
_cell_length_a 9.2341
_cell_length_b 9.2341
_cell_length_c 9.2341
_cell_angle_alpha 158.34
_cell_angle_beta 150.26
_cell_angle_gamma 37.09
_space_group_name_H-M_alt 'P 1'
_space_group_IT_number 1
_space_group_name_Hall 'P 1'
loop_
_atom_site_label
_atom_site_type_symbol
_atom_site_fract_x
_atom_site_fract_y
_atom_site_fract_z
Ir1 Ir 0.5168 0.5168 0.0000
Ca1 Ca 0.0006 0.0006 0.0000
Ca2 Ca 0.6446 0.1446 0.5000
K1 K 0.3380 0.8380 0.5000
# offset from the most stable computed form	121	meV per atom
# uncorrected energy	-3.46	eV/atom
# DFT formation energy	0.030	eV/atom

---

# TlPOs2 PBE optimized geometry
data_TlPOs2
_cell_length_a 4.4535
_cell_length_b 4.4535
_cell_length_c 3.1845
_cell_angle_alpha 90.00
_cell_angle_beta 90.00
_cell_angle_gamma 90.00
_space_group_name_H-M_alt 'P 1'
_space_group_IT_number 1
_space_group_name_Hall 'P 1'
loop_
_atom_site_label
_atom_site_type_symbol
_atom_site_fract_x
_atom_site_fract_y
_atom_site_fract_z
Tl1 Tl 0.0000 0.0000 0.5000
Os1 Os 0.0000 0.5000 0.0000
P1 P 0.5000 0.5000 0.5000
Os2 Os 0.5000 0.0000 0.0000
# offset from the most stable computed form	584	meV per atom
# uncorrected energy	-6.58	eV/atom
# DFT formation energy	0.977	eV/atom

---

# CaCu4Pt3O12 PBE optimized geometry
data_CaCu4Pt3O12
_cell_length_a 6.5329
_cell_length_b 6.5329
_cell_length_c 6.5329
_cell_angle_alpha 109.47
_cell_angle_beta 109.47
_cell_angle_gamma 109.47
_space_group_name_H-M_alt 'P 1'
_space_group_IT_number 1
_space_group_name_Hall 'P 1'
loop_
_atom_site_label
_atom_site_type_symbol
_atom_site_fract_x
_atom_site_fract_y
_atom_site_fract_z
O1 O 0.6899 0.8227 0.5126
O2 O 0.1773 0.4874 0.3101
Cu1 Cu 0.0000 0.5000 0.0000
O3 O 0.1328 0.3101 0.8227
Cu2 Cu 0.5000 0.0000 0.0000
Cu3 Cu 0.5000 0.5000 0.5000
O4 O 0.5126 0.6899 0.8227
O5 O 0.8227 0.1328 0.3101
Cu4 Cu 0.0000 0.0000 0.5000
Pt1 Pt 0.5000 0.0000 0.5000
O6 O 0.6899 0.1773 0.8672
O7 O 0.3101 0.1773 0.4874
O8 O 0.4874 0.3101 0.1773
O9 O 0.8227 0.5126 0.6899
O10 O 0.3101 0.8227 0.1328
O11 O 0.8672 0.6899 0.1773
Pt2 Pt 0.5000 0.5000 0.0000
Pt3 Pt 0.0000 0.5000 0.5000
Ca1 Ca 0.0000 0.0000 0.0000
O12 O 0.1773 0.8672 0.6899
# uncorrected energy	-5.46	eV/atom